[1]
GGA+U CsVO2, relaxed; electronic total energy = -6.321 eV per atom; symmetry = C2
1.0
4.945 -3.129 0.000
4.945 3.129 0.000
-4.723 0.000 6.263
Cs V O
2 2 4
direct
0.147 0.147 0.311
0.853 0.853 0.689
0.343 0.369 0.002
0.631 0.657 0.998
0.404 0.391 0.786
0.437 0.020 0.007
0.609 0.596 0.214
0.980 0.563 0.993

[2]
GGA+U CsVO2, relaxed; electronic total energy = -6.156 eV per atom; symmetry = Pnma
1.0
7.003 0.000 0.000
0.000 3.204 0.000
0.000 0.000 14.579
Cs V O
4 4 8
direct
0.126 0.250 0.166
0.374 0.750 0.666
0.626 0.250 0.334
0.874 0.750 0.834
0.125 0.750 0.435
0.375 0.250 0.935
0.625 0.750 0.065
0.875 0.250 0.565
0.144 0.250 0.535
0.202 0.250 0.360
0.298 0.750 0.860
0.356 0.750 0.035
0.644 0.250 0.965
0.702 0.250 0.140
0.798 0.750 0.640
0.856 0.750 0.465

[3]
GGA+U Cs2V5O13, relaxed; electronic total energy = -7.133 eV per atom; symmetry = I4mm
1.0
-4.004 4.004 6.134
4.004 -4.004 6.134
4.004 4.004 -6.134
Cs V O
2 5 13
direct
0.000 0.500 0.500
0.500 0.000 0.500
0.388 0.388 0.000
0.530 0.530 0.560
0.530 0.970 0.000
0.970 0.530 0.000
0.970 0.970 0.440
0.035 0.772 0.263
0.178 0.178 0.662
0.178 0.516 0.000
0.351 0.351 0.447
0.351 0.903 0.000
0.508 0.772 0.737
0.516 0.178 0.000
0.516 0.516 0.338
0.521 0.521 0.000
0.772 0.035 0.263
0.772 0.508 0.737
0.903 0.351 0.000
0.903 0.903 0.553

[4]
GGA+U Cs2V4O9, relaxed; electronic total energy = -7.118 eV per atom; symmetry = P4_2/m
1.0
5.851 0.000 0.000
0.000 5.851 0.000
0.000 0.000 15.591
Cs V O
4 8 18
direct
0.233 0.250 0.000
0.250 0.767 0.500
0.750 0.233 0.500
0.767 0.750 0.000
0.212 0.354 0.297
0.212 0.354 0.703
0.354 0.788 0.203
0.354 0.788 0.797
0.646 0.212 0.203
0.646 0.212 0.797
0.788 0.646 0.297
0.788 0.646 0.703
0.120 0.680 0.283
0.120 0.680 0.717
0.263 0.282 0.399
0.263 0.282 0.601
0.282 0.737 0.101
0.282 0.737 0.899
0.320 0.120 0.217
0.320 0.120 0.783
0.500 0.500 0.250
0.500 0.500 0.750
0.680 0.880 0.217
0.680 0.880 0.783
0.718 0.263 0.101
0.718 0.263 0.899
0.737 0.718 0.399
0.737 0.718 0.601
0.880 0.320 0.283
0.880 0.320 0.717